First-principles (PBE-GGA) data for crystalline Cs3Nd3CrSe8 at its relaxed geometry, as listed in Alexandria via LeMat-Bulk.

Results
Total energy in eV per atom: -5.0056
ΔE_f (raw) in eV per atom: -1.38
Fermi-level density of states in states/eV/cell: 32.64

Lattice parameters (Å, degrees): 8.4292 8.4292 25.8661 90.00 90.00 120.00
Closest atoms and distances in Å follow each position.
Space group R-3m (No. 166, hexagonal axes)
Symmetry-distinct sites (fractional):
1 Cs 0.0000 0.5000 0.0000  6 Se 3.59-3.64
2 Nd 0.0000 0.5000 0.5000  6 Se 2.95-2.98
3 Cr 0.0000 0.0000 0.5000  6 Se 2.64
4 Se 0.0000 0.0000 0.2312  3 Nd 2.95
5 Se 0.0365 0.5183 0.2248  1 Cr 2.64